(1)
This record from the Alexandria database describes a crystal of GeSI2N relaxed with PBEsol. The functional is meta-GGA SCAN.

E above lowest polymorph: 24 meV per atom
uncorrected formation energy: 0.999 eV per atom

Geometry as extended XYZ:
```
5
Lattice="5.7828 0.0000 0.0000 0.0000 5.7828 0.0000 0.0000 0.0000 3.4185" Properties=species:S:1:pos:R:3 pbc="T T T"
Ge 0.0000 0.0000 0.0000
S 2.8914 2.8914 1.7092
I 0.0000 2.8914 0.0000
I 2.8914 0.0000 0.0000
N 0.0000 0.0000 1.7092
```

(2)
This record from the Alexandria database describes a crystal of LaCrBr2 relaxed with PBEsol. The functional is meta-GGA SCAN.

E above lowest polymorph: 65 meV per atom
uncorrected formation energy: -0.863 eV per atom

Geometry as extended XYZ:
```
4
Lattice="1.8512 1.0688 9.3331 -1.8512 1.0688 9.3331 0.0000 -2.1376 9.3331" Properties=species:S:1:pos:R:3 pbc="T T T"
La 0.0000 0.0000 0.0000
Cr 0.0000 0.0000 13.9997
Br 0.0000 0.0000 11.4958
Br 0.0000 0.0000 16.5036
```

(3)
This record from the Alexandria database describes a crystal of La2ReTcOs relaxed with PBEsol. The functional is meta-GGA SCAN.

E: -51.6450 eV/atom

Geometry as extended XYZ:
```
5
Lattice="5.4144 0.0000 0.0000 0.0000 5.4144 0.0000 0.0000 0.0000 4.5587" Properties=species:S:1:pos:R:3 pbc="T T T"
La 0.0000 2.7072 0.0000
La 2.7072 0.0000 0.0000
Re 0.0000 0.0000 2.2794
Tc 2.7072 2.7072 2.2794
Os 2.7072 2.7072 0.0000
```

(4)
This record from the Alexandria database describes a crystal of CsCd3Ir relaxed with PBEsol. The functional is meta-GGA SCAN.

E: -40.0549 eV/atom

Geometry as extended XYZ:
```
5
Lattice="5.2581 0.0000 0.0000 0.0000 5.2581 0.0000 0.0000 0.0000 5.2581" Properties=species:S:1:pos:R:3 pbc="T T T"
Cs 0.0000 0.0000 0.0000
Cd 0.0000 2.6291 2.6291
Cd 2.6291 0.0000 2.6291
Cd 2.6291 2.6291 0.0000
Ir 2.6291 2.6291 2.6291
```